LiIn8Pb6 | PBE-GGA | optimized geometry

Cell and atoms, written as CIF:
```
data_LiIn8Pb6
_chemical_formula_sum 'Li1 In8 Pb6'
_cell_length_a 8.3228
_cell_length_b 8.3228
_cell_length_c 7.5888
_cell_angle_alpha 90.00
_cell_angle_beta 90.00
_cell_angle_gamma 120.00
_symmetry_space_group_name_H-M 'P -3'
_symmetry_Int_Tables_number 147
loop_
_symmetry_equiv_pos_as_xyz
'x,y,z'
'-x,-y,-z'
'-y,x-y,z'
'y,-x+y,-z'
'-x+y,-x,z'
'x-y,x,-z'
loop_
_atom_site_label
_atom_site_type_symbol
_atom_site_fract_x
_atom_site_fract_y
_atom_site_fract_z
Li1 Li 0.0000 0.0000 0.0000
In1 In 0.0084 0.3334 0.5860
In2 In 0.3333 0.6667 0.7736
Pb1 Pb 0.1009 0.4074 0.1305
```

total energy	-3.0212	eV per atom

BaZrO | PBE-GGA | optimized geometry

Cell and atoms, written as CIF:
```
data_BaZrO
_chemical_formula_sum 'Ba4 Zr4 O4'
_cell_length_a 12.6190
_cell_length_b 3.5535
_cell_length_c 6.1523
_cell_angle_alpha 90.00
_cell_angle_beta 90.00
_cell_angle_gamma 90.00
_symmetry_space_group_name_H-M 'A m m 2'
_symmetry_Int_Tables_number 38
loop_
_symmetry_equiv_pos_as_xyz
'x,y,z'
'-x,-y,z'
'-x,y,z'
'x,-y,z'
'x,y+1/2,z+1/2'
'-x,-y+1/2,z+1/2'
'-x,y+1/2,z+1/2'
'x,-y+1/2,z+1/2'
loop_
_atom_site_label
_atom_site_type_symbol
_atom_site_fract_x
_atom_site_fract_y
_atom_site_fract_z
Ba1 Ba 0.1374 0.0000 0.0000
Zr1 Zr 0.3946 0.0000 0.6647
O1 O 0.0000 0.0000 0.6667
O2 O 0.5000 0.0000 0.9981
```

energy relative to the elements, uncorrected	-1040.3	meV per atom
total energy	-6.1833	eV per atom

Ca3Pm2Pb3 | PBE-GGA | optimized geometry

Cell and atoms, written as CIF:
```
data_Ca3Pm2Pb3
_chemical_formula_sum 'Ca6 Pm4 Pb6'
_cell_length_a 4.6015
_cell_length_b 5.0695
_cell_length_c 21.3357
_cell_angle_alpha 90.00
_cell_angle_beta 90.00
_cell_angle_gamma 90.00
_symmetry_space_group_name_H-M 'I m m m'
_symmetry_Int_Tables_number 71
_symmetry_space_group_name_Hall '-I 2 2'
loop_
_atom_site_label
_atom_site_type_symbol
_atom_site_fract_x
_atom_site_fract_y
_atom_site_fract_z
Ca1 Ca 0.0000 0.0000 0.0000
Ca2 Ca 0.0000 0.5000 0.1160
Pm1 Pm 0.0000 0.0000 0.2371
Pb1 Pb 0.0000 0.0000 0.5000
Pb2 Pb 0.0000 0.5000 0.3721
```

total energy	-3.7264	eV per atom